A relaxed KBiNF2 crystal. Source: Alexandria, functional GGA-PBE.

Unit cell a=4.4973 b=4.4973 c=4.9251 alpha=90.00 beta=90.00 gamma=90.00
Sites, in units of the cell vectors:
K: 0.0000 0.0000 0.0000
F: 0.5000 0.0000 0.0000
F: 0.0000 0.5000 0.0000
Bi: 0.5000 0.5000 0.5000
N: 0.0000 0.0000 0.5000

## Properties
For the total energy, the calculation gives -3.525 eV/atom. As for the spin magnetization: 1.0 μB/f.u. The volume comes out at 99.6 Å³ per cell. The calculation puts the calculated density at 5.00 g cm⁻³. For the density of states at the Fermi level, the calculation gives 1.2 states/eV per cell. For the distance to the lowest polymorph of the same formula, the calculation gives 1066 meV per atom.

A relaxed CaZnSi crystal. Source: Alexandria, functional GGA-PBE.

Unit cell a=4.1914 b=4.1914 c=7.8969 alpha=105.39 beta=105.39 gamma=90.00
Sites, in units of the cell vectors:
Si: 0.9190 0.9190 0.8380
Si: 0.0810 0.0810 0.1620
Zn: 0.6650 0.1650 0.3301
Zn: 0.8350 0.3350 0.6699
Ca: 0.5000 0.5000 0.0000
Ca: 0.2500 0.7500 0.5000

## Properties
For the total energy, the calculation gives -3.285 eV/atom. As for the spin magnetization: 0.0 μB/f.u. The volume comes out at 128.6 Å³ per cell. The calculation puts the calculated density at 3.45 g cm⁻³. For the density of states at the Fermi level, the calculation gives 3.3 states/eV per cell.

A relaxed LiPm2Hg4Pb crystal. Source: Alexandria, functional GGA-PBE.

Unit cell a=5.2396 b=5.2396 c=8.9747 alpha=73.03 beta=73.03 gamma=60.00
Sites, in units of the cell vectors:
Pm: 0.2554 0.2554 0.2337
Pm: 0.7446 0.7446 0.7663
Hg: 0.8668 0.8668 0.3996
Hg: 0.1332 0.1332 0.6004
Hg: 0.6132 0.6132 0.1605
Hg: 0.3868 0.3868 0.8395
Pb: 0.0000 0.0000 0.0000
Li: 0.5000 0.5000 0.5000

## Properties
For the total energy, the calculation gives -2.466 eV/atom. As for the spin magnetization: 0.0 μB/f.u. For the energy of formation from the pure elements, the calculation gives -0.424 eV/atom. The volume comes out at 200.9 Å³ per cell. The calculation puts the calculated density at 10.80 g cm⁻³. For the density of states at the Fermi level, the calculation gives 2.9 states/eV per cell.

A relaxed LaGdSc2 crystal. Source: Alexandria, functional GGA-PBE.

Unit cell a=4.4710 b=5.1101 c=5.1101 alpha=90.00 beta=90.00 gamma=90.00
Sites, in units of the cell vectors:
Gd: 0.5000 0.5000 0.5000
Sc: 0.0000 0.5000 0.0000
Sc: 0.0000 0.0000 0.5000
La: 0.5000 0.0000 0.0000

## Properties
For the total energy, the calculation gives -7.859 eV/atom. As for the spin magnetization: 7.3 μB/f.u. For the energy of formation from the pure elements, the calculation gives 0.059 eV/atom. The volume comes out at 116.8 Å³ per cell. The calculation puts the calculated density at 5.49 g cm⁻³. For the density of states at the Fermi level, the calculation gives 5.7 states/eV per cell. For the distance to the lowest polymorph of the same formula, the calculation gives 0 meV per atom.

A relaxed BaLiAl2Rh crystal. Source: Alexandria, functional GGA-PBE.

Unit cell a=4.7878 b=4.7878 c=5.1394 alpha=90.00 beta=90.00 gamma=90.00
Sites, in units of the cell vectors:
Ba: 0.5000 0.5000 0.5000
Al: 0.0000 0.5000 0.0000
Al: 0.5000 0.0000 0.0000
Rh: 0.0000 0.0000 0.0000
Li: 0.0000 0.0000 0.5000

## Properties
For the total energy, the calculation gives -4.149 eV/atom. As for the spin magnetization: 0.0 μB/f.u. For the energy of formation from the pure elements, the calculation gives -0.414 eV/atom. The volume comes out at 117.8 Å³ per cell. The calculation puts the calculated density at 4.24 g cm⁻³. For the density of states at the Fermi level, the calculation gives 2.9 states/eV per cell.

A relaxed KNa2PuI6 crystal. Source: Alexandria, functional GGA-PBE.

Unit cell a=8.1732 b=8.1738 c=8.9389 alpha=62.79 beta=62.79 gamma=59.97
Sites, in units of the cell vectors:
K: 0.8135 0.8137 0.5588
Na: 0.5155 0.5153 0.4542
Na: 0.0035 0.0036 0.9899
I: 0.2431 0.9364 0.2410
I: 0.1410 0.3749 0.7571
I: 0.7272 0.1407 0.7572
I: 0.5793 0.2433 0.2409
I: 0.3748 0.7269 0.7571
I: 0.9364 0.5796 0.2409
Pu: 0.3273 0.3272 0.0181

## Properties
For the total energy, the calculation gives -3.949 eV/atom. As for the spin magnetization: 5.0 μB/f.u. The volume comes out at 439.1 Å³ per cell. The calculation puts the calculated density at 4.12 g cm⁻³. For the density of states at the Fermi level, the calculation gives 10.9 states/eV per cell.

A relaxed Na8CdBi2 crystal. Source: Alexandria, functional GGA-PBE.

Unit cell a=5.2967 b=8.9964 c=8.8471 alpha=120.58 beta=107.42 gamma=90.00
Sites, in units of the cell vectors:
Na: 0.6611 0.4513 0.3222
Na: 0.0002 0.6849 0.0003
Na: 0.3386 0.1287 0.6773
Na: 0.1465 0.1469 0.2931
Na: 0.6614 0.8713 0.3227
Na: 0.3389 0.5487 0.6778
Na: 0.8535 0.8531 0.7069
Na: 0.9998 0.3151 0.9997
Cd: 0.5000 0.0000 0.0000
Bi: 0.1995 0.6993 0.3989
Bi: 0.8005 0.3007 0.6011

## Properties
For the total energy, the calculation gives -1.991 eV/atom. As for the spin magnetization: 0.2 μB/f.u. For the energy of formation from the pure elements, the calculation gives -0.243 eV/atom. The volume comes out at 340.3 Å³ per cell. The calculation puts the calculated density at 3.49 g cm⁻³. For the density of states at the Fermi level, the calculation gives 3.9 states/eV per cell.

A relaxed NbSb2TeBr crystal. Source: Alexandria, functional GGA-PBE.

Unit cell a=5.4088 b=5.4088 c=5.2961 alpha=90.00 beta=90.00 gamma=90.00
Sites, in units of the cell vectors:
Te: 0.0000 0.0000 0.5000
Sb: 0.0000 0.5000 0.0000
Sb: 0.5000 0.0000 0.0000
Br: 0.5000 0.5000 0.5000
Nb: 0.0000 0.0000 0.0000

## Properties
For the total energy, the calculation gives -4.519 eV/atom. As for the spin magnetization: 0.0 μB/f.u. The volume comes out at 154.9 Å³ per cell. The calculation puts the calculated density at 5.83 g cm⁻³. For the density of states at the Fermi level, the calculation gives 3.2 states/eV per cell. For the distance to the lowest polymorph of the same formula, the calculation gives 0 meV per atom.